{
  "formula": "Ba2TcWO6",
  "functional": "GGA+U",
  "state": "optimized geometry",
  "dos_ef_per_ev_atom": 0.149,
  "final_energy_ev_per_cell": -73.315,
  "spacegroup": "No. 139",
  "lattice_angstrom": [[-2.616, 2.716, -4.467], [-5.224, -1.508, 2.147], [-4.027, 4.050, 0.998]],
  "species": ["Ba", "Ba", "Tc", "W", "O", "O", "O", "O", "O", "O"],
  "frac_coords": [[0.250, 0.750, 0.500], [0.750, 0.250, 0.500], [0.000, 0.000, 0.000], [0.500, 0.500, 0.000], [0.251, 0.749, 0.000], [0.749, 0.749, 0.000], [0.256, 0.256, 0.488], [0.749, 0.251, 0.000], [0.251, 0.251, 0.000], [0.744, 0.744, 0.512]]
}